No. 1
As2C | GGA-PBE | optimized geometry

a b c (Å): 4.108 8.743 2.932
angles (deg): 90.00 90.00 90.00
Fractional positions:
As: 0.245 0.108 0.000
As: 0.255 0.608 0.500
As: 0.745 0.392 0.500
As: 0.755 0.892 0.000
C: 0.000 0.500 0.000
C: 0.500 0.000 0.500

Results
Space-group type ... No. 58
Crystal system ... orthorhombic
Energy of formation ... 1.165 eV/atom


No. 2
As2C | GGA-PBE | optimized geometry

a b c (Å): 10.494 10.494 3.169
angles (deg): 90.00 90.00 164.04
Fractional positions:
As: 0.063 0.937 0.750
As: 0.181 0.819 0.250
As: 0.819 0.181 0.750
As: 0.937 0.063 0.250
C: 0.389 0.611 0.750
C: 0.611 0.389 0.250

Results
Space-group type ... No. 63
Crystal system ... orthorhombic
Energy of formation ... 1.276 eV/atom


Calculated size of the total moment, 0.00, 0.00 μB/atom (same order as the records).